## CeOsRu (GGA-PBE)

Data for a relaxed CeOsRu crystal.

a b c (Å): 2.8841 2.8841 6.7413
angles (deg): 102.35 102.35 90.00
Positions (direct):
Ru 0.6880 0.6880 0.3760
Os 0.3123 0.3123 0.6246
Ce 0.9997 0.9997 0.9994

Summary:
Crystal system: tetragonal
Space group: No. 107
Offset from the most stable computed form, eV/atom: 0.299
DFT formation energy, eV per atom: 0.03

=====

## AcGe2RuO8 (GGA-PBE)

Data for a relaxed AcGe2RuO8 crystal.

a b c (Å): 6.0348 6.0348 6.0348
angles (deg): 105.79 105.79 117.10
Positions (direct):
Ac 0.0000 0.0000 0.0000
Ge 0.7500 0.2500 0.5000
Ge 0.5000 0.5000 0.0000
Ru 0.2500 0.7500 0.5000
O 0.3749 0.0371 0.3377
O 0.3274 0.5237 0.1963
O 0.3274 0.1311 0.8037
O 0.6994 0.0371 0.6623
O 0.8689 0.6726 0.1963
O 0.9629 0.3006 0.3377
O 0.9629 0.6251 0.6623
O 0.4763 0.6726 0.8037

Summary:
Formation energy without anion corrections, kcal/mol of atoms: -31.73
Crystal system: tetragonal
Space group: No. 119

=====

## PuPaMn4 (GGA-PBE)

Data for a relaxed PuPaMn4 crystal.

a b c (Å): 5.0701 5.0701 5.0701
angles (deg): 60.00 60.00 60.00
Positions (direct):
Pa 0.0000 0.0000 0.0000
Mn 0.6248 0.6248 0.1255
Mn 0.6248 0.1255 0.6248
Mn 0.6248 0.6248 0.6248
Mn 0.1255 0.6248 0.6248
Pu 0.2500 0.2500 0.2500

Summary:
Crystal system: cubic
Space group: No. 216
DFT formation energy, eV per atom: -0.07

=====

## Si2PtPb (GGA-PBE)

Data for a relaxed Si2PtPb crystal.

a b c (Å): 4.1281 4.7697 4.5491
angles (deg): 87.93 90.00 90.00
Positions (direct):
Pb 0.5000 0.2500 0.2500
Pt 0.5000 0.7500 0.7500
Si 0.0000 0.0076 0.7763
Si 0.0000 0.4924 0.7237

Summary:
Formation energy without anion corrections, kcal/mol of atoms: -2.61
Crystal system: monoclinic
Space group: No. 10

=====

## TiTeSCl2 (GGA-PBE)

Data for a relaxed TiTeSCl2 crystal.

a b c (Å): 4.7055 4.7055 5.1037
angles (deg): 90.00 90.00 90.00
Positions (direct):
Cl 0.0000 0.5000 0.0000
Cl 0.5000 0.0000 0.0000
S 0.0000 0.0000 0.5000
Te 0.5000 0.5000 0.5000
Ti 0.0000 0.0000 0.0000

Summary:
Formation energy without anion corrections, kcal/mol of atoms: -11.47
Crystal system: tetragonal
Space group: No. 123
Offset from the most stable computed form, eV/atom: 0.000

=====

## KNi3S3 (GGA-PBE)

Data for a relaxed KNi3S3 crystal.

a b c (Å): 4.2052 8.5554 8.5554
angles (deg): 120.00 90.00 90.00
Positions (direct):
K 0.7500 0.6667 0.3333
K 0.2500 0.3333 0.6667
Ni 0.7500 0.9599 0.7901
Ni 0.7500 0.2099 0.1697
Ni 0.7500 0.8303 0.0401
Ni 0.2500 0.0401 0.2099
Ni 0.2500 0.7901 0.8303
Ni 0.2500 0.1697 0.9599
S 0.7500 0.6781 0.7399
S 0.7500 0.2601 0.9381
S 0.7500 0.0619 0.3219
S 0.2500 0.3219 0.2601
S 0.2500 0.7399 0.0619
S 0.2500 0.9381 0.6781

Summary:
Formation energy without anion corrections, kcal/mol of atoms: -13.74
Crystal system: hexagonal
Space group: No. 176

=====

## V4SiN (GGA-PBE)

Data for a relaxed V4SiN crystal.

a b c (Å): 5.9776 5.9776 5.9776
angles (deg): 109.66 109.66 109.09
Positions (direct):
V 0.2871 0.9621 0.6750
V 0.7110 0.4199 0.7089
V 0.7121 0.5371 0.1750
V 0.1699 0.9610 0.2089
V 0.3622 0.5371 0.8250
V 0.7521 0.9610 0.7911
V 0.7110 0.0021 0.2911
V 0.2871 0.6122 0.3250
Si 0.2342 0.2342 0.0000
Si 0.9842 0.4842 0.5000
N 0.7695 0.7695 0.0000
N 0.5195 0.0195 0.5000

Summary:
Formation energy without anion corrections, kcal/mol of atoms: -3.86
Crystal system: tetragonal
Space group: No. 109

=====

## Tb3PrH8 (GGA-PBE)

Data for a relaxed Tb3PrH8 crystal.

a b c (Å): 5.2976 5.2976 5.2976
angles (deg): 90.00 90.00 90.00
Positions (direct):
Tb 0.5000 0.5000 0.0000
Tb 0.5000 0.0000 0.5000
Tb 0.0000 0.5000 0.5000
Pr 0.0000 0.0000 0.0000
H 0.2581 0.2581 0.7419
H 0.2581 0.7419 0.2581
H 0.7419 0.2581 0.2581
H 0.7419 0.7419 0.7419
H 0.7419 0.7419 0.2581
H 0.7419 0.2581 0.7419
H 0.2581 0.7419 0.7419
H 0.2581 0.2581 0.2581

Summary:
Crystal system: cubic
DFT total energy, eV/atom: -4.482
Space group: No. 221

=====

## NdY2VN4 (GGA-PBE)

Data for a relaxed NdY2VN4 crystal.

a b c (Å): 3.3966 6.1221 11.7832
angles (deg): 90.00 90.00 106.11
Positions (direct):
Nd 0.0848 0.1695 0.7500
Nd 0.9152 0.8305 0.2500
Y 0.3704 0.7408 0.5425
Y 0.6296 0.2592 0.0425
Y 0.6296 0.2592 0.4575
Y 0.3704 0.7408 0.9575
V 0.8252 0.6505 0.7500
V 0.1748 0.3495 0.2500
N 0.2641 0.5281 0.1256
N 0.7359 0.4719 0.6256
N 0.7359 0.4719 0.8744
N 0.2641 0.5281 0.3744
N 0.0000 0.0000 0.5000
N 0.0000 0.0000 0.0000
N 0.4219 0.8438 0.7500
N 0.5781 0.1562 0.2500

Summary:
Formation energy without anion corrections, kcal/mol of atoms: -31.04
Crystal system: orthorhombic
Space group: No. 63

=====

## Na2ScHg3 (GGA-PBE)

Data for a relaxed Na2ScHg3 crystal.

a b c (Å): 3.5251 3.5251 11.6868
angles (deg): 90.00 90.00 90.00
Positions (direct):
Na 0.5000 0.5000 0.8201
Na 0.5000 0.5000 0.1799
Sc 0.5000 0.5000 0.5000
Hg 0.0000 0.0000 0.0000
Hg 0.0000 0.0000 0.6475
Hg 0.0000 0.0000 0.3525

Summary:
Crystal system: tetragonal
Space group: No. 123
DFT formation energy, eV per atom: -0.27

=====

## NbZnCoAu2 (GGA-PBE)

Data for a relaxed NbZnCoAu2 crystal.

a b c (Å): 5.1763 4.4769 5.1763
angles (deg): 90.00 90.00 90.00
Positions (direct):
Co 0.0000 0.5000 0.0000
Nb 0.0000 0.0000 0.0000
Au 0.0000 0.0000 0.5000
Au 0.5000 0.0000 0.0000
Zn 0.5000 0.5000 0.5000

Summary:
Crystal system: tetragonal
Space group: No. 123
DFT formation energy, eV per atom: 1.17

=====

## PuPa2Hg (GGA-PBE)

Data for a relaxed PuPa2Hg crystal.

a b c (Å): 5.1565 5.1565 5.1576
angles (deg): 60.01 60.01 60.00
Positions (direct):
Pa 0.2499 0.2499 0.2502
Pa 0.7501 0.7501 0.7498
Hg 0.0000 0.0000 0.0000
Pu 0.5000 0.5000 0.5000

Summary:
Crystal system: cubic
Space group: No. 225
Offset from the most stable computed form, eV/atom: 0.051
DFT formation energy, eV per atom: 0.12

=====

M_tot list, top to bottom, in μB per formula unit: 0.0; 1.2; 1.8; 0.0; 0.6; 0.0; 0.0; 0.0; 0.2; 0.4; 0.8; 7.4